A relaxed Cs2BaMoO4 crystal, computed with GGA+U.

Lattice parameters (Å, degrees): 6.7158 6.7158 8.3254 90.00 90.00 90.00
Last column: nearest neighbours and their distance in Å.
Space group I-4 (No. 82)
One atom of each set of equivalent atoms:
Cs: 0.0000 0.0000 0.0000 x2  4 O 3.00
Cs: 0.0000 0.5000 0.2500 x2  8 O 3.18-3.35
Ba: 0.0000 0.5000 0.7500 x2  4 O 2.62
Mo: 0.0000 0.0000 0.5000 x2  4 O 1.92
O: 0.1549 0.7724 0.5627 x8  1 Mo 1.92

Calculated values
uncorrected energy: -5.60 eV per atom
ρ: 4.98 g/cm3
spin magnetization: 0.0 μB per formula unit